No. 1
First-principles (PBE) data for a relaxed Sm4ErTm7 crystal, as listed in Alexandria.

Output
The final energy is -53.7 eV/cell. The total magnetization comes out at 0.00 μB per cell. The formation energy is 0.090 eV/atom.

abc: 6.774 8.642 8.957
angles: 84.52 95.37 48.03
Sites, in units of the cell vectors:
Er: 0.000 0.000 0.000
Tm: 0.293 0.813 0.618
Tm: 0.735 0.512 0.952
Tm: 0.265 0.488 0.048
Tm: 0.707 0.187 0.382
Tm: 0.500 0.000 0.000
Tm: 0.978 0.318 0.645
Tm: 0.022 0.682 0.355
Sm: 0.780 0.836 0.692
Sm: 0.555 0.639 0.287
Sm: 0.220 0.164 0.308
Sm: 0.445 0.361 0.713

No. 2
First-principles (PBE) data for a relaxed Sm11Er4Tm9 crystal, as listed in Alexandria.

Output
The final energy is -109.1 eV/cell. The total magnetization comes out at 0.00 μB per cell. The formation energy is 0.055 eV/atom.

abc: 3.621 15.214 15.214
angles: 113.21 90.00 90.00
Sites, in units of the cell vectors:
Tm: 0.500 0.786 0.932
Tm: 0.500 0.834 0.370
Tm: 0.500 0.932 0.786
Tm: 0.500 0.068 0.214
Tm: 0.500 0.214 0.068
Tm: 0.500 0.500 0.500
Tm: 0.500 0.630 0.166
Tm: 0.500 0.370 0.834
Tm: 0.500 0.166 0.630
Sm: 0.000 0.708 0.708
Sm: 0.000 0.161 0.839
Sm: 0.000 0.368 0.632
Sm: 0.000 0.000 0.000
Sm: 0.000 0.839 0.161
Sm: 0.000 0.595 0.957
Sm: 0.000 0.292 0.292
Sm: 0.000 0.632 0.368
Sm: 0.000 0.957 0.595
Sm: 0.000 0.043 0.405
Sm: 0.000 0.405 0.043
Er: 0.500 0.241 0.445
Er: 0.500 0.445 0.241
Er: 0.500 0.555 0.759
Er: 0.500 0.759 0.555

No. 3
First-principles (PBE) data for a relaxed SmEr12Tm3 crystal, as listed in Alexandria.

Output
The final energy is -72.5 eV/cell. The total magnetization comes out at 0.00 μB per cell. The formation energy is 0.023 eV/atom.

abc: 4.963 4.963 19.844
angles: 90.00 90.00 90.00
Sites, in units of the cell vectors:
Er: 0.500 0.000 0.873
Er: 0.500 0.000 0.624
Er: 0.500 0.500 0.749
Er: 0.000 0.500 0.127
Er: 0.000 0.500 0.873
Er: 0.500 0.500 0.251
Er: 0.500 0.500 0.000
Er: 0.000 0.500 0.376
Er: 0.500 0.000 0.127
Er: 0.000 0.500 0.624
Er: 0.500 0.500 0.500
Er: 0.500 0.000 0.376
Tm: 0.000 0.000 0.500
Tm: 0.000 0.000 0.251
Tm: 0.000 0.000 0.749
Sm: 0.000 0.000 0.000